First-principles (PBE) data for a relaxed FePRu crystal, as listed in Alexandria.

## Properties
Raw total energy, eV/atom: -7.89
Energy of formation from the pure elements, meV/atom: -176
Crystal system: tetragonal
D(E_F), states/eV per atom: 0.99

abc: 4.9160 4.9160 4.9160
angles: 146.52 146.52 48.07
Atoms (fractional coordinates):
P 0.3407 0.3407 0.0000
Ru 0.6828 0.6828 0.0000
Fe 0.9765 0.9765 0.0000

---

First-principles (PBE) data for a relaxed FeP2Ru crystal, as listed in Alexandria.

## Properties
Raw total energy, eV/atom: -7.34
Energy of formation from the pure elements, meV/atom: -200
Relative energy among the computed polymorphs, meV/atom: 180
Crystal system: monoclinic
D(E_F), states/eV per atom: 0.71

abc: 2.8368 4.8565 4.8096
angles: 47.85 90.00 90.00
Atoms (fractional coordinates):
Fe 0.0000 0.0000 0.5000
P 0.0000 0.0000 0.0000
P 0.5000 0.5000 0.0000
Ru 0.5000 0.5000 0.5000

---

First-principles (PBE) data for a relaxed FeP2Ru crystal, as listed in Alexandria.

## Properties
Raw total energy, eV/atom: -7.29
Energy of formation from the pure elements, meV/atom: -146
Relative energy among the computed polymorphs, meV/atom: 233
Crystal system: cubic
D(E_F), states/eV per atom: 0.74

abc: 4.0827 4.0827 4.0827
angles: 60.00 60.00 60.00
Atoms (fractional coordinates):
Ru 0.5000 0.5000 0.5000
P 0.2500 0.2500 0.2500
P 0.7500 0.7500 0.7500
Fe 0.0000 0.0000 0.0000

---

First-principles (PBE) data for a relaxed FePRu crystal, as listed in Alexandria.

## Properties
Raw total energy, eV/atom: -8.05
Energy of formation from the pure elements, meV/atom: -336
Crystal system: cubic
D(E_F), states/eV per atom: 1.04

abc: 3.8330 3.8330 3.8330
angles: 60.00 60.00 60.00
Atoms (fractional coordinates):
P 0.7500 0.7500 0.7500
Ru 0.0000 0.0000 0.0000
Fe 0.5000 0.5000 0.5000

---

What is the formula in the fourth record?
FePRu

---

What is the formula in the first record?
FePRu